Version one
A plane-wave DFT calculation with PBE-GGA was carried out for a relaxed Tb3Pr5Ho crystal.

Its space group is C2/m (12). Its crystal system is monoclinic.

Cell lengths 8.4543, 8.4543, 10.0181 Å; angles 101.11, 101.11, 89.80 degrees
Fractional positions:
Tb 0.0000 0.0000 0.0000
Tb 0.9995 0.9995 0.3239
Tb 0.0005 0.0005 0.6761
Tb 0.4921 0.4921 0.1606
Tb 0.5000 0.5000 0.5000
Tb 0.5079 0.5079 0.8394
Pr 0.0958 0.5964 0.8515
Pr 0.2421 0.2421 0.9181
Pr 0.2474 0.7526 0.5000
Pr 0.2489 0.2489 0.5809
Pr 0.4036 0.9042 0.1485
Pr 0.5964 0.0958 0.8515
Pr 0.7511 0.7511 0.4191
Pr 0.7526 0.2474 0.5000
Pr 0.7579 0.7579 0.0819
Pr 0.9042 0.4036 0.1485
Ho 0.2617 0.2617 0.2657
Ho 0.7383 0.7383 0.7343



Version two
A plane-wave DFT calculation with PBE-GGA was carried out for a relaxed Tb3Pr5Ho crystal.

Its space group is C2/c (15). Its crystal system is monoclinic.

Cell lengths 10.6566, 10.6566, 11.8129 Å; angles 121.37, 121.37, 34.63 degrees
Fractional positions:
Tb 0.0000 0.0000 0.0000
Tb 0.0000 0.0000 0.5000
Tb 0.0482 0.6008 0.9750
Tb 0.3992 0.9518 0.5250
Tb 0.6008 0.0482 0.4750
Tb 0.9518 0.3992 0.0250
Pr 0.0010 0.3585 0.3312
Pr 0.1893 0.5340 0.3410
Pr 0.3585 0.0010 0.8312
Pr 0.4111 0.5889 0.7500
Pr 0.4660 0.8107 0.1590
Pr 0.5340 0.1893 0.8410
Pr 0.5889 0.4111 0.2500
Pr 0.6415 0.9990 0.1688
Pr 0.8107 0.4660 0.6590
Pr 0.9990 0.6415 0.6688
Ho 0.0994 0.9006 0.2500
Ho 0.9006 0.0994 0.7500



Relative energy of each structure, in meV per atom: version one 206; version two 0.